No. 1
The following is a PBE calculation of a geometry-optimized Tl2CoPd structure, from Alexandria via LeMat-Bulk.

Summary:
Energy of formation ... 2.1 eV per formula unit
Space group ... I-42d
Mass density ... 11.09 Mg/m³

Cell: 4.299 4.299 9.786 Å, 77.31 77.31 90.00°
Last column: magnetic moment on the atom in μB.
Element x y z (fractional)
Tl  0.133  0.625  0.250  -0.02
Tl  0.875  0.867  0.750  -0.02
Tl  0.375  0.383  0.750  -0.02
Tl  0.617  0.125  0.250  -0.02
Co  0.500  0.500  0.000  1.71
Co  0.250  0.750  0.500  1.71
Pd  0.000  0.000  0.000  0.03
Pd  0.750  0.250  0.500  0.03

=====

No. 2
The following is a PBE calculation of a geometry-optimized Y2TlCoPd structure, from Alexandria via LeMat-Bulk.

Summary:
Energy of formation ... -0.6 eV per formula unit
Space group ... P4/mmm
Mass density ... 7.39 Mg/m³

Cell: 5.023 5.023 4.879 Å, 90.00 90.00 90.00°
Element x y z (fractional)
Y  0.500  0.000  0.000
Y  0.000  0.500  0.000
Co  0.000  0.000  0.000
Pd  0.500  0.500  0.500
Tl  0.000  0.000  0.500

=====

No. 3
The following is a PBE calculation of a geometry-optimized Tm6CoPd2 structure, from Alexandria via LeMat-Bulk.

Summary:
Energy of formation ... -4.4 eV per formula unit
Space group ... P2_1/c
Mass density ... 9.57 Mg/m³

Cell: 6.420 7.250 9.583 Å, 90.00 88.83 90.00°
Element x y z (fractional)
Pd  0.445  0.115  0.246
Pd  0.555  0.885  0.754
Pd  0.055  0.615  0.254
Pd  0.945  0.385  0.746
Tm  0.162  0.322  0.064
Tm  0.330  0.817  0.061
Tm  0.640  0.467  0.251
Tm  0.830  0.683  0.561
Tm  0.170  0.317  0.439
Tm  0.360  0.533  0.749
Tm  0.670  0.183  0.939
Tm  0.338  0.822  0.436
Tm  0.140  0.033  0.751
Tm  0.838  0.678  0.936
Tm  0.662  0.178  0.564
Tm  0.860  0.967  0.249
Co  0.500  0.500  0.000
Co  0.000  0.000  0.500

=====

No. 4
The following is a PBE calculation of a geometry-optimized Tm5Co2Pd2 structure, from Alexandria via LeMat-Bulk.

Summary:
Energy of formation ... -4.8 eV per formula unit
Space group ... Cmce
Mass density ... 10.21 Mg/m³

Cell: 7.139 7.162 8.282 Å, 90.00 64.47 90.00°
Element x y z (fractional)
Tm  0.953  0.321  0.736
Tm  0.188  0.179  0.264
Tm  0.812  0.821  0.736
Tm  0.500  0.500  0.000
Tm  0.547  0.821  0.264
Tm  0.047  0.679  0.264
Tm  0.688  0.321  0.264
Tm  0.000  0.000  0.000
Tm  0.312  0.679  0.736
Tm  0.453  0.179  0.736
Co  0.888  0.611  0.000
Co  0.612  0.111  0.000
Co  0.388  0.889  0.000
Co  0.112  0.389  0.000
Pd  0.287  0.500  0.426
Pd  0.213  0.000  0.574
Pd  0.787  0.000  0.426
Pd  0.713  0.500  0.574

=====

No. 5
The following is a PBE calculation of a geometry-optimized Tm5Co2Pd structure, from Alexandria via LeMat-Bulk.

Summary:
Energy of formation ... -3.4 eV per formula unit
Space group ... I4/mcm
Mass density ... 10.06 Mg/m³

Cell: 7.123 7.123 8.585 Å, 114.51 114.51 90.00°
Element x y z (fractional)
Co  0.116  0.384  0.000
Co  0.384  0.884  0.000
Co  0.884  0.616  0.000
Co  0.616  0.116  0.000
Tm  0.687  0.187  0.722
Tm  0.965  0.465  0.278
Tm  0.813  0.965  0.278
Tm  0.500  0.500  0.000
Tm  0.535  0.687  0.722
Tm  0.035  0.535  0.722
Tm  0.465  0.313  0.278
Tm  0.313  0.813  0.278
Tm  0.000  0.000  0.000
Tm  0.187  0.035  0.722
Pd  0.750  0.750  0.500
Pd  0.250  0.250  0.500

=====

No. 6
The following is a PBE calculation of a geometry-optimized Tm4CoPd3 structure, from Alexandria via LeMat-Bulk.

Summary:
Energy of formation ... -6.1 eV per formula unit
Space group ... P4/mmm
Mass density ... 10.94 Mg/m³

Cell: 3.381 3.381 13.993 Å, 90.00 90.00 90.00°
Last column: magnetic moment on the atom in μB.
Element x y z (fractional)
Pd  0.500  0.500  0.246  0.01
Pd  0.500  0.500  0.754  0.01
Pd  0.500  0.500  0.500  -0.01
Tm  0.000  0.000  0.116  -0.10
Tm  0.000  0.000  0.372  0.01
Tm  0.000  0.000  0.628  0.01
Tm  0.000  0.000  0.884  -0.10
Co  0.500  0.500  0.000  0.74